The following is a PBE calculation of a geometry-optimized CaIr2Ru structure, from Alexandria via LeMat-Bulk.

The structure in CIF format:
```
data_CaIr2Ru
_space_group_name_H-M_alt 'I -4 m 2'
_space_group_IT_number 119
_space_group_name_Hall 'I -4 -2'
_cell_length_a 4.011
_cell_length_b 4.011
_cell_length_c 8.112
_cell_angle_alpha 90.00
_cell_angle_beta 90.00
_cell_angle_gamma 90.00
loop_
_atom_site_label
_atom_site_type_symbol
_atom_site_fract_x
_atom_site_fract_y
_atom_site_fract_z
Ca1 Ca 0.000 0.000 0.000
Ir1 Ir 0.000 0.000 0.500
Ir2 Ir 0.000 0.500 0.750
Ru1 Ru 0.000 0.500 0.250
```

Output
As for the offset from the most stable computed form: 0.248 eV per atom. The density of states at the Fermi level is 9.364 states/eV/cell. The calculated formation energy comes out at 1.04 eV/f.u.

The following is a PBE calculation of a geometry-optimized CaRh2Au structure, from Alexandria via LeMat-Bulk.

The structure in CIF format:
```
data_CaRh2Au
_space_group_name_H-M_alt 'P 1 2/m 1'
_space_group_IT_number 10
_cell_length_a 2.946
_cell_length_b 4.714
_cell_length_c 5.234
_cell_angle_alpha 90.00
_cell_angle_beta 98.40
_cell_angle_gamma 90.00
loop_
_space_group_symop_operation_xyz
'x,y,z'
'-x,-y,-z'
'-x,y,-z'
'x,-y,z'
loop_
_atom_site_label
_atom_site_type_symbol
_atom_site_fract_x
_atom_site_fract_y
_atom_site_fract_z
Ca1 Ca 0.000 0.000 0.000
Rh1 Rh 0.320 0.500 0.724
Au1 Au 0.500 0.000 0.500
```

Output
The density of states at the Fermi level is 3.609 states/eV/cell. The calculated formation energy comes out at -0.20 eV/f.u.

The following is a PBE calculation of a geometry-optimized HfMnV2 structure, from Alexandria via LeMat-Bulk.

The structure in CIF format:
```
data_HfMnV2
_space_group_name_H-M_alt 'P 4/m m m'
_space_group_IT_number 123
_space_group_name_Hall '-P 4 2'
_cell_length_a 2.956
_cell_length_b 2.956
_cell_length_c 6.757
_cell_angle_alpha 90.00
_cell_angle_beta 90.00
_cell_angle_gamma 90.00
loop_
_atom_site_label
_atom_site_type_symbol
_atom_site_fract_x
_atom_site_fract_y
_atom_site_fract_z
Hf1 Hf 0.000 0.000 0.000
Mn1 Mn 0.000 0.000 0.500
V1 V 0.500 0.500 0.296
```

Output
As for the offset from the most stable computed form: 0.000 eV per atom. The density of states at the Fermi level is 4.652 states/eV/cell. The calculated formation energy comes out at 0.01 eV/f.u.

The following is a PBE calculation of a geometry-optimized LaTmZnPd structure, from Alexandria via LeMat-Bulk.

The structure in CIF format:
```
data_LaTmZnPd
_space_group_name_H-M_alt 'F -4 3 m'
_space_group_IT_number 216
_space_group_name_Hall 'F -4 2 3'
_cell_length_a 7.228
_cell_length_b 7.228
_cell_length_c 7.228
_cell_angle_alpha 90.00
_cell_angle_beta 90.00
_cell_angle_gamma 90.00
loop_
_atom_site_label
_atom_site_type_symbol
_atom_site_fract_x
_atom_site_fract_y
_atom_site_fract_z
La1 La 0.000 0.000 0.000
Tm1 Tm 0.000 0.000 0.500
Zn1 Zn 0.250 0.250 0.250
Pd1 Pd 0.250 0.250 0.750
```

Output
The density of states at the Fermi level is 14.082 states/eV/cell. The calculated formation energy comes out at -2.17 eV/f.u.

The following is a PBE calculation of a geometry-optimized Ac2InAgHg6 structure, from Alexandria via LeMat-Bulk.

The structure in CIF format:
```
data_Ac2InAgHg6
_space_group_name_H-M_alt 'P -1'
_space_group_IT_number 2
_cell_length_a 5.846
_cell_length_b 7.480
_cell_length_c 7.586
_cell_angle_alpha 89.27
_cell_angle_beta 67.42
_cell_angle_gamma 67.14
loop_
_space_group_symop_operation_xyz
'x,y,z'
'-x,-y,-z'
loop_
_atom_site_label
_atom_site_type_symbol
_atom_site_fract_x
_atom_site_fract_y
_atom_site_fract_z
Ac1 Ac 0.250 0.242 0.257
In1 In 0.500 0.500 0.500
Ag1 Ag 0.000 0.000 0.000
Hg1 Hg 0.179 0.313 0.825
Hg2 Hg 0.245 0.933 0.579
Hg3 Hg 0.319 0.689 0.174
```

Output
The density of states at the Fermi level is 5.925 states/eV/cell. The calculated formation energy comes out at -2.46 eV/f.u.

The following is a PBE calculation of a geometry-optimized NaMoWBr2 structure, from Alexandria via LeMat-Bulk.

The structure in CIF format:
```
data_NaMoWBr2
_space_group_name_H-M_alt 'P 4/m m m'
_space_group_IT_number 123
_space_group_name_Hall '-P 4 2'
_cell_length_a 4.945
_cell_length_b 4.945
_cell_length_c 6.207
_cell_angle_alpha 90.00
_cell_angle_beta 90.00
_cell_angle_gamma 90.00
loop_
_atom_site_label
_atom_site_type_symbol
_atom_site_fract_x
_atom_site_fract_y
_atom_site_fract_z
Na1 Na 0.000 0.000 0.000
Mo1 Mo 0.500 0.500 0.000
W1 W 0.000 0.000 0.500
Br1 Br 0.000 0.500 0.500
```

Output
For the uncorrected formation energy, the calculation gives 1.51 eV/atom. The density of states at the Fermi level is 2.986 states/eV/cell.

The following is a PBE calculation of a geometry-optimized K2OsRu structure, from Alexandria via LeMat-Bulk.

The structure in CIF format:
```
data_K2OsRu
_space_group_name_H-M_alt 'F m -3 m'
_space_group_IT_number 225
_space_group_name_Hall '-F 4 2 3'
_cell_length_a 7.469
_cell_length_b 7.469
_cell_length_c 7.469
_cell_angle_alpha 90.00
_cell_angle_beta 90.00
_cell_angle_gamma 90.00
loop_
_atom_site_label
_atom_site_type_symbol
_atom_site_fract_x
_atom_site_fract_y
_atom_site_fract_z
K1 K 0.250 0.250 0.250
Os1 Os 0.000 0.000 0.000
Ru1 Ru 0.000 0.000 0.500
```

Output
As for the offset from the most stable computed form: 1.609 eV per atom. The density of states at the Fermi level is 33.728 states/eV/cell. The calculated formation energy comes out at 9.23 eV/f.u.

The following is a PBE calculation of a geometry-optimized Na3SiN structure, from Alexandria via LeMat-Bulk.

The structure in CIF format:
```
data_Na3SiN
_space_group_name_H-M_alt 'P m -3 m'
_space_group_IT_number 221
_space_group_name_Hall '-P 4 2 3'
_cell_length_a 4.727
_cell_length_b 4.727
_cell_length_c 4.727
_cell_angle_alpha 90.00
_cell_angle_beta 90.00
_cell_angle_gamma 90.00
loop_
_atom_site_label
_atom_site_type_symbol
_atom_site_fract_x
_atom_site_fract_y
_atom_site_fract_z
Na1 Na 0.000 0.000 0.500
Si1 Si 0.500 0.500 0.500
N1 N 0.000 0.000 0.000
```

Output
As for the offset from the most stable computed form: 0.000 eV per atom. For the uncorrected formation energy, the calculation gives 0.65 eV/atom. The density of states at the Fermi level is 3.988 states/eV/cell.

The following is a PBE calculation of a geometry-optimized MgCu2Te structure, from Alexandria via LeMat-Bulk.

The structure in CIF format:
```
data_MgCu2Te
_space_group_name_H-M_alt 'R -3 m'
_space_group_IT_number 166
_space_group_name_Hall '-R 3 2"'
_cell_length_a 3.3227
_cell_length_b 3.3227
_cell_length_c 24.2237
_cell_angle_alpha 90.00
_cell_angle_beta 90.00
_cell_angle_gamma 120.00
loop_
_atom_site_label
_atom_site_type_symbol
_atom_site_fract_x
_atom_site_fract_y
_atom_site_fract_z
Mg1 Mg 0.0000 0.0000 0.0000
Cu1 Cu 0.0000 0.0000 0.2492
Te1 Te 0.0000 0.0000 0.5000
```

Output
As for the offset from the most stable computed form: 0.322 eV per atom. For the uncorrected formation energy, the calculation gives 0.27 eV/atom. The density of states at the Fermi level is 10.397 states/eV/cell.

The following is a PBE calculation of a geometry-optimized NpSiN structure, from Alexandria via LeMat-Bulk.

The structure in CIF format:
```
data_NpSiN
_space_group_name_H-M_alt 'I 4 m m'
_space_group_IT_number 107
_space_group_name_Hall 'I 4 -2'
_cell_length_a 3.923
_cell_length_b 3.923
_cell_length_c 6.590
_cell_angle_alpha 90.00
_cell_angle_beta 90.00
_cell_angle_gamma 90.00
loop_
_atom_site_label
_atom_site_type_symbol
_atom_site_fract_x
_atom_site_fract_y
_atom_site_fract_z
Np1 Np 0.000 0.000 0.000
Si1 Si 0.000 0.000 0.413
N1 N 0.000 0.000 0.674
```

Output
As for the offset from the most stable computed form: 0.659 eV per atom. For the uncorrected formation energy, the calculation gives 0.00 eV/atom. The density of states at the Fermi level is 18.529 states/eV/cell.

The following is a PBE calculation of a geometry-optimized Ba2MnMo structure, from Alexandria via LeMat-Bulk.

The structure in CIF format:
```
data_Ba2MnMo
_space_group_name_H-M_alt 'I -4 m 2'
_space_group_IT_number 119
_space_group_name_Hall 'I -4 -2'
_cell_length_a 5.591
_cell_length_b 5.591
_cell_length_c 7.944
_cell_angle_alpha 90.00
_cell_angle_beta 90.00
_cell_angle_gamma 90.00
loop_
_atom_site_label
_atom_site_type_symbol
_atom_site_fract_x
_atom_site_fract_y
_atom_site_fract_z
Ba1 Ba 0.000 0.000 0.000
Ba2 Ba 0.000 0.500 0.250
Mn1 Mn 0.000 0.500 0.750
Mo1 Mo 0.000 0.000 0.500
```

Output
As for the offset from the most stable computed form: 0.687 eV per atom. The density of states at the Fermi level is 10.641 states/eV/cell. The calculated formation energy comes out at 4.87 eV/f.u.

The following is a PBE calculation of a geometry-optimized ThIrRh structure, from Alexandria via LeMat-Bulk.

The structure in CIF format:
```
data_ThIrRh
_space_group_name_H-M_alt 'C m c m'
_space_group_IT_number 63
_space_group_name_Hall '-C 2c 2'
_cell_length_a 4.273
_cell_length_b 9.604
_cell_length_c 5.775
_cell_angle_alpha 90.00
_cell_angle_beta 90.00
_cell_angle_gamma 90.00
loop_
_atom_site_label
_atom_site_type_symbol
_atom_site_fract_x
_atom_site_fract_y
_atom_site_fract_z
Th1 Th 0.000 0.182 0.250
Ir1 Ir 0.000 0.500 0.000
Rh1 Rh 0.000 0.112 0.750
```

Output
As for the offset from the most stable computed form: 0.017 eV per atom. The density of states at the Fermi level is 6.533 states/eV/cell. The calculated formation energy comes out at -2.32 eV/f.u.